Entry 1:
# ScTa2AgSn

Crystalline ScTa2AgSn at its relaxed geometry (PBE, Alexandria).

Results
energy of formation from the pure elements = 1.555 eV/atom
raw total energy = -5.82 eV/atom
spin magnetization = 0.0 μB per formula unit

Structure (extended XYZ):
```
5
Lattice="4.8418 0.0000 0.0000 0.0000 5.0029 0.0000 0.0000 0.0000 4.8418" Properties=species:S:1:pos:R:3 pbc="T T T"
Ta 2.4209 0.0000 0.0000
Sn 2.4209 2.5015 2.4209
Ag 0.0000 2.5015 0.0000
Ta 0.0000 0.0000 2.4209
Sc 0.0000 0.0000 0.0000
```

***

Entry 2:
# TbSc2Ag2Sn2

Crystalline TbSc2Ag2Sn2 at its relaxed geometry (PBE, Alexandria).

Results
energy of formation from the pure elements = -0.435 eV/atom
raw total energy = -4.86 eV/atom
spin magnetization = 0.0 μB per formula unit

Structure (extended XYZ):
```
7
Lattice="4.7264 0.0000 0.0000 2.3632 4.0932 0.0000 2.3632 1.3644 8.3368" Properties=species:S:1:pos:R:3 pbc="T T T"
Sc 2.3632 1.3644 4.9311
Ag 4.7264 2.7288 2.7006
Sn 2.3632 1.3644 1.7614
Ag 4.7264 2.7288 5.6363
Tb 0.0000 0.0000 0.0000
Sn 7.0896 4.0932 6.5754
Sc 7.0896 4.0932 3.4057
```

***

Entry 3:
# ScAg2Sn3Te6

Crystalline ScAg2Sn3Te6 at its relaxed geometry (PBE, Alexandria).

Results
formation energy (no corrections) = -0.382 eV/atom
raw total energy = -3.96 eV/atom
spin magnetization = 0.0 μB per formula unit

Structure (extended XYZ):
```
12
Lattice="7.5698 -0.0076 -0.0024 -3.7896 6.5529 -0.0024 -1.2645 -2.1895 7.1097" Properties=species:S:1:pos:R:3 pbc="T T T"
Te -1.2236 2.1311 1.6368
Te 2.4574 0.0052 1.6368
Te 0.0582 4.3506 5.4680
Te 3.7392 2.2247 5.4680
Sn 5.1178 -0.0514 3.5524
Ag -0.0489 4.3925 -0.0024
Sn 1.2578 2.1779 3.5524
Sn -2.6021 4.4072 3.5524
Te -0.0255 -0.0442 5.4419
Sc 0.0000 0.0000 0.0000
Te 2.5412 4.4000 1.6629
Ag 3.8290 2.1528 -0.0024
```

***

Entry 4:
# ScAgSn2Te4

Crystalline ScAgSn2Te4 at its relaxed geometry (PBE, Alexandria).

Results
formation energy (no corrections) = -0.469 eV/atom
raw total energy = -4.19 eV/atom
spin magnetization = 0.0 μB per formula unit

Structure (extended XYZ):
```
8
Lattice="4.3526 0.0000 0.0000 0.0000 7.6391 -0.1399 0.0000 2.6987 7.0966" Properties=species:S:1:pos:R:3 pbc="T T T"
Te 2.1764 6.3106 1.7782
Sn 0.0000 2.6987 7.0966
Sn 2.1763 1.3493 3.5483
Te 2.1763 4.0272 5.1785
Sc 0.0000 5.1688 3.4783
Ag 2.1763 3.8196 -0.0700
Te 0.0001 7.5786 5.2342
Te 4.3526 2.7591 1.7224
```

***

Entry 5:
# ScAgSnTe3

Crystalline ScAgSnTe3 at its relaxed geometry (PBE, Alexandria).

Results
formation energy (no corrections) = -0.583 eV/atom
raw total energy = -4.35 eV/atom
spin magnetization = 0.0 μB per formula unit

Structure (extended XYZ):
```
12
Lattice="-3.0391 2.9427 -0.4158 -5.7418 -6.1452 -1.5251 -0.1487 1.2161 9.6947" Properties=species:S:1:pos:R:3 pbc="T T T"
Te -7.4884 -3.1964 -0.4809
Sc -4.2290 1.2549 7.2003
Te -4.7790 -0.2732 0.4048
Ag -1.3382 0.9250 5.4643
Te -4.9827 -3.1192 3.4791
Te -3.9469 1.1329 4.2747
Sn -1.9608 -0.2061 2.0090
Ag -7.5913 -2.9113 2.2896
Sc -4.7005 -3.2411 0.5536
Te -4.1505 -1.7130 7.3491
Te -1.4412 1.2101 8.2347
Sn -6.9688 -1.7802 5.7448
```

***

Entry 6:
# ThSc2Ag2Sn2

Crystalline ThSc2Ag2Sn2 at its relaxed geometry (PBE, Alexandria).

Results
energy of formation from the pure elements = -0.376 eV/atom
raw total energy = -5.20 eV/atom
spin magnetization = 0.0 μB per formula unit

Structure (extended XYZ):
```
7
Lattice="4.7707 0.0000 0.0000 2.3853 4.1315 0.0000 2.3853 1.3772 8.3696" Properties=species:S:1:pos:R:3 pbc="T T T"
Sc 7.1560 4.1315 3.3824
Sn 7.1560 4.1315 6.5472
Th 0.0000 0.0000 0.0000
Ag 4.7707 2.7543 5.6548
Ag 4.7707 2.7543 2.7148
Sn 2.3853 1.3772 1.8223
Sc 2.3853 1.3772 4.9871
```

***

Entry 7:
# ThScAgSn

Crystalline ThScAgSn at its relaxed geometry (PBE, Alexandria).

Results
energy of formation from the pure elements = -0.313 eV/atom
raw total energy = -5.46 eV/atom
spin magnetization = 0.0 μB per formula unit

Structure (extended XYZ):
```
4
Lattice="-1.1070 4.1563 2.9377 -4.7819 2.0622 -0.1021 -3.1364 -0.4904 4.1295" Properties=species:S:1:pos:R:3 pbc="T T T"
Th -4.5127 2.8641 3.4826
Sn -2.2563 1.4320 1.7413
Ag -6.7690 4.2961 5.2239
Sc 0.0000 0.0000 0.0000
```

***

Entry 8:
# ScTiAgSn

Crystalline ScTiAgSn at its relaxed geometry (PBE, Alexandria).

Results
energy of formation from the pure elements = -0.271 eV/atom
raw total energy = -5.54 eV/atom
spin magnetization = 1.7 μB per formula unit

Structure (extended XYZ):
```
4
Lattice="-2.4246 2.6806 3.2149 -4.8342 0.1296 -0.1146 -2.5607 -2.1465 3.4979" Properties=species:S:1:pos:R:3 pbc="T T T"
Sn -2.4549 0.1659 1.6495
Ti -4.9098 0.3318 3.2991
Ag -7.3647 0.4978 4.9486
Sc 0.0000 0.0000 0.0000
```